A geometry-optimized CsPmV2O6 structure. Source: Alexandria, functional PBE+U.

Cell: 7.627 7.627 6.192 Å, 99.51 99.51 86.39°
Each line ends with the local moment (μB).
Fractional coordinates of all 20 atoms:
O 0.087 0.617 0.744  -0.03
O 0.383 0.913 0.756  -0.03
O 0.180 0.165 0.052  -0.02
O 0.617 0.087 0.244  -0.03
O 0.675 0.547 0.617  -0.01
O 0.835 0.820 0.448  -0.02
O 0.165 0.180 0.552  -0.02
O 0.547 0.675 0.117  -0.01
O 0.325 0.453 0.383  -0.01
O 0.820 0.835 0.948  -0.02
O 0.453 0.325 0.883  -0.01
O 0.913 0.383 0.256  -0.03
V 0.136 0.307 0.316  1.01
V 0.693 0.864 0.184  1.01
V 0.307 0.136 0.816  1.01
V 0.864 0.693 0.684  1.01
Pm 0.396 0.604 0.750  0.01
Pm 0.604 0.396 0.250  0.01
Cs 0.178 0.822 0.250  0.00
Cs 0.822 0.178 0.750  0.00

Properties
Uncorrected energy in eV per atom: -7.354
Space group: C2/c
Total magnetization in μB per atom: 0.20